V2Ga2Au (PBE, optimized geometry); energy relative to the lowest polymorph listed for this composition = 0 meV/atom; DOS(E_F) = 4.32 states/eV/f.u.; DFT formation energy = -0.018 eV/atom; raw total energy = -5.531 eV/atom; symmetry = P4/mbm, No. 127
1.0
6.661 0.000 0.000
0.000 6.661 0.000
0.000 0.000 3.426
V Ga Au
4 4 2
direct
0.172 0.328 0.000
0.328 0.828 0.000
0.672 0.172 0.000
0.828 0.672 0.000
0.129 0.629 0.500
0.371 0.129 0.500
0.629 0.871 0.500
0.871 0.371 0.500
0.000 0.000 0.500
0.500 0.500 0.500